VASP calculation (PBE-GGA) on an optimized crystal structure of LiPu3Ge4.

Geometry as CIF:
```
data_LiPu3Ge4
_chemical_formula_sum 'Li2 Pu6 Ge8'
_symmetry_space_group_name_H-M 'I m m m'
_symmetry_Int_Tables_number 71
_symmetry_space_group_name_Hall '-I 2 2'
_cell_length_a 2.937
_cell_length_b 8.722
_cell_length_c 13.271
_cell_angle_alpha 90.00
_cell_angle_beta 90.00
_cell_angle_gamma 90.00
loop_
_atom_site_label
_atom_site_fract_x
_atom_site_fract_y
_atom_site_fract_z
Li1 0.000 0.000 0.000
Pu1 0.000 0.000 0.500
Pu2 0.000 0.500 0.268
Ge1 0.000 0.245 0.112
```

Results
As for the crystal system: orthorhombic. The magnetization comes out at 5.84 μB/f.u. The calculation puts the raw total energy at -131.1 eV per cell. The calculated formation energy is -0.2716 eV per atom.